Record 1
Na2BeW | GGA-PBE | optimized geometry

Computed properties:
The calculated total energy is -3.24 eV/atom. As for the formation energy: 153.34 kJ/mol of atoms. The crystal system is tetragonal. The spin magnetization comes out at 2.7 μB/f.u.

```
data_Na2BeW
_chemical_formula_sum 'Na8 Be4 W4'
_cell_length_a 8.154
_cell_length_b 8.154
_cell_length_c 4.889
_cell_angle_alpha 90.00
_cell_angle_beta 90.00
_cell_angle_gamma 90.00
_symmetry_space_group_name_H-M 'I -4 2 d'
_symmetry_Int_Tables_number 122
_symmetry_space_group_name_Hall 'I -4 2bw'
loop_
_atom_site_label
_atom_site_type_symbol
_atom_site_fract_x
_atom_site_fract_y
_atom_site_fract_z
Na1 Na 0.197 0.250 0.125
Be1 Be 0.000 0.000 0.000
W1 W 0.000 0.000 0.500
```

---

Record 2
PaMnAlRh | GGA-PBE | optimized geometry

Computed properties:
The calculated total energy is -7.84 eV/atom. As for the formation energy: -38.43 kJ/mol of atoms. The crystal system is cubic. The spin magnetization comes out at 0.0 μB/f.u.

```
data_PaMnAlRh
_chemical_formula_sum 'Pa4 Mn4 Al4 Rh4'
_cell_length_a 6.450
_cell_length_b 6.450
_cell_length_c 6.450
_cell_angle_alpha 90.00
_cell_angle_beta 90.00
_cell_angle_gamma 90.00
_symmetry_space_group_name_H-M 'F -4 3 m'
_symmetry_Int_Tables_number 216
_symmetry_space_group_name_Hall 'F -4 2 3'
loop_
_atom_site_label
_atom_site_type_symbol
_atom_site_fract_x
_atom_site_fract_y
_atom_site_fract_z
Pa1 Pa 0.000 0.000 0.000
Mn1 Mn 0.250 0.250 0.250
Al1 Al 0.000 0.000 0.500
Rh1 Rh 0.250 0.250 0.750
```

---

Record 3
Rb2BeF4 | GGA-PBE | optimized geometry

Computed properties:
The calculated total energy is -4.91 eV/atom. The crystal system is orthorhombic. As for the energy relative to the elements, uncorrected: -3.028 eV/atom. The spin magnetization comes out at 0.2 μB/f.u.

```
data_Rb2BeF4
_chemical_formula_sum 'Rb8 Be4 F16'
_cell_length_a 9.746
_cell_length_b 5.901
_cell_length_c 9.578
_cell_angle_alpha 90.00
_cell_angle_beta 90.00
_cell_angle_gamma 90.00
_symmetry_space_group_name_H-M 'P n a 21'
_symmetry_Int_Tables_number 33
_symmetry_space_group_name_Hall 'P 2c -2n'
loop_
_atom_site_label
_atom_site_type_symbol
_atom_site_fract_x
_atom_site_fract_y
_atom_site_fract_z
Rb1 Rb 0.006 0.213 0.000
Rb2 Rb 0.230 0.659 0.833
Be1 Be 0.164 0.620 0.207
F1 F 0.035 0.471 0.254
F2 F 0.120 0.849 0.141
F3 F 0.248 0.471 0.101
F4 F 0.250 0.162 0.843
```

---

Record 4
Ce5Si2O12 | GGA-PBE | optimized geometry

Computed properties:
The calculated total energy is -8.42 eV/atom. The crystal system is monoclinic. As for the energy relative to the elements, uncorrected: -3.153 eV/atom. The spin magnetization comes out at 2.4 μB/f.u.

```
data_Ce5Si2O12
_chemical_formula_sum 'Ce10 Si4 O24'
_cell_length_a 12.519
_cell_length_b 5.763
_cell_length_c 7.513
_cell_angle_alpha 90.00
_cell_angle_beta 107.07
_cell_angle_gamma 90.00
_symmetry_space_group_name_H-M 'C 1 2/m 1'
_symmetry_Int_Tables_number 12
_symmetry_space_group_name_Hall '-C 2y'
loop_
_atom_site_label
_atom_site_type_symbol
_atom_site_fract_x
_atom_site_fract_y
_atom_site_fract_z
Ce1 Ce 0.000 0.000 0.000
Ce2 Ce 0.187 0.500 0.851
Ce3 Ce 0.196 0.500 0.343
Si1 Si 0.000 0.236 0.500
O1 O 0.000 0.000 0.336
O2 O 0.001 0.500 0.339
O3 O 0.149 0.255 0.573
O4 O 0.155 0.249 0.081
```

---

Record 5
VAgIN2 | GGA-PBE | optimized geometry

Computed properties:
The calculated total energy is -5.54 eV/atom. The crystal system is tetragonal. As for the energy relative to the elements, uncorrected: 0.498 eV/atom. The spin magnetization comes out at 0.3 μB/f.u.

```
data_VAgIN2
_chemical_formula_sum 'V1 Ag1 I1 N2'
_cell_length_a 3.873
_cell_length_b 3.873
_cell_length_c 5.862
_cell_angle_alpha 90.00
_cell_angle_beta 90.00
_cell_angle_gamma 90.00
_symmetry_space_group_name_H-M 'P 4/m m m'
_symmetry_Int_Tables_number 123
_symmetry_space_group_name_Hall '-P 4 2'
loop_
_atom_site_label
_atom_site_type_symbol
_atom_site_fract_x
_atom_site_fract_y
_atom_site_fract_z
V1 V 0.000 0.000 0.000
Ag1 Ag 0.500 0.500 0.500
I1 I 0.000 0.000 0.500
N1 N 0.000 0.500 0.000
```

---

Record 6
Mg3W | GGA-PBE | optimized geometry

Computed properties:
The calculated total energy is -3.93 eV/atom. As for the formation energy: 48.73 kJ/mol of atoms. The crystal system is cubic. The spin magnetization comes out at 0.0 μB/f.u.

```
data_Mg3W
_chemical_formula_sum 'Mg3 W1'
_cell_length_a 4.195
_cell_length_b 4.195
_cell_length_c 4.195
_cell_angle_alpha 90.00
_cell_angle_beta 90.00
_cell_angle_gamma 90.00
_symmetry_space_group_name_H-M 'P m -3 m'
_symmetry_Int_Tables_number 221
_symmetry_space_group_name_Hall '-P 4 2 3'
loop_
_atom_site_label
_atom_site_type_symbol
_atom_site_fract_x
_atom_site_fract_y
_atom_site_fract_z
Mg1 Mg 0.000 0.000 0.500
W1 W 0.500 0.500 0.500
```

---

Record 7
AlZn2Hg | GGA-PBE | optimized geometry

Computed properties:
The calculated total energy is -1.51 eV/atom. As for the formation energy: 13.35 kJ/mol of atoms. The crystal system is tetragonal. The spin magnetization comes out at 0.0 μB/f.u.

```
data_AlZn2Hg
_chemical_formula_sum 'Al2 Zn4 Hg2'
_cell_length_a 4.144
_cell_length_b 4.144
_cell_length_c 8.336
_cell_angle_alpha 90.00
_cell_angle_beta 90.00
_cell_angle_gamma 90.00
_symmetry_space_group_name_H-M 'I 4/m m m'
_symmetry_Int_Tables_number 139
_symmetry_space_group_name_Hall '-I 4 2'
loop_
_atom_site_label
_atom_site_type_symbol
_atom_site_fract_x
_atom_site_fract_y
_atom_site_fract_z
Al1 Al 0.000 0.000 0.000
Zn1 Zn 0.000 0.500 0.250
Hg1 Hg 0.000 0.000 0.500
```

---

Record 8
Hg2TeBr | GGA-PBE | optimized geometry

Computed properties:
The calculated total energy is -1.54 eV/atom. The crystal system is monoclinic. As for the energy relative to the elements, uncorrected: -0.184 eV/atom. The spin magnetization comes out at 0.0 μB/f.u.

```
data_Hg2TeBr
_chemical_formula_sum 'Hg8 Te4 Br4'
_cell_length_a 6.926
_cell_length_b 11.628
_cell_length_c 7.267
_cell_angle_alpha 90.00
_cell_angle_beta 104.27
_cell_angle_gamma 90.00
_symmetry_space_group_name_H-M 'C 1 2 1'
_symmetry_Int_Tables_number 5
_symmetry_space_group_name_Hall 'C 2y'
loop_
_atom_site_label
_atom_site_type_symbol
_atom_site_fract_x
_atom_site_fract_y
_atom_site_fract_z
Hg1 Hg 0.190 0.000 0.241
Hg2 Hg 0.193 0.230 0.244
Te1 Te 0.167 0.769 0.155
Br1 Br 0.192 0.453 0.314
```